(1)
A plane-wave DFT calculation with GGA-PBE was carried out for Y2Ga9Ru3 after structural relaxation.

Structure (extended XYZ):
```
28
Lattice="7.485 0.007 0.000 -3.663 6.528 0.000 0.000 0.000 9.731" Properties=species:S:1:pos:R:3 pbc="T T T"
Ga 3.312 2.919 7.298
Ga 1.293 2.210 5.460
Ga 1.331 6.476 5.607
Ga 1.293 2.210 9.136
Ga 2.530 4.325 0.595
Ga -1.170 2.201 0.741
Ga 2.530 4.325 4.271
Ga 4.993 4.335 8.989
Ga 0.921 4.318 7.298
Ga 2.902 2.217 2.433
Ga 2.492 0.059 0.741
Ga 2.492 0.059 4.124
Ga 4.993 4.335 5.607
Ga 0.510 3.616 2.433
Ga -1.170 2.201 4.124
Ga 0.505 0.863 2.433
Ga 3.318 5.672 7.298
Ga 1.331 6.476 8.989
Ru -0.052 4.416 4.865
Ru -0.052 4.416 0.000
Ru 0.000 0.000 0.000
Ru 0.000 0.000 4.865
Ru 3.875 2.119 0.000
Ru 3.875 2.119 4.865
Y 1.392 6.518 2.433
Y 2.430 0.017 7.298
Y 4.998 4.409 2.433
Y -1.176 2.127 7.298
```

Computed properties:
Calculated total energy   -5.40 eV/atom
Size of the total moment   0.000 μB/f.u.


(2)
A plane-wave DFT calculation with GGA-PBE was carried out for Co3Os after structural relaxation.

Structure (extended XYZ):
```
4
Lattice="-0.331 3.153 3.620 -3.345 0.271 -3.448 1.700 -4.375 1.059" Properties=species:S:1:pos:R:3 pbc="T T T"
Co 0.000 0.000 0.000
Co -1.838 1.712 0.086
Co -0.823 -2.052 -1.195
Os 0.685 -0.611 2.340
```

Computed properties:
Calculated total energy   -7.82 eV/atom
Size of the total moment   5.662 μB/f.u.


| no. | formation enthalpy at 0 K (meV per atom) |
| --- | --- |
| 1 | -545 |
| 2 | 315 |